Entry 1:
An optimized crystal structure of LiYAl2Co. Source: the Alexandria database, functional PBE.

a = 5.614 Å, b = 5.614 Å, c = 4.686 Å
α = 90.00°, β = 90.00°, γ = 90.00°
Space group P4/mmm (No. 123)
Symmetry-distinct sites (fractional):
Li 0.000 0.000 0.000
Y 0.500 0.500 0.500
Al 0.000 0.500 0.500
Co 0.500 0.500 0.000

Computed properties:
ΔE_f: 5.46 eV per formula unit
V: 148 Å³ per cell
Final energy: -0.257 Ry/atom

=====

Entry 2:
An optimized crystal structure of LiTiI6. Source: the Alexandria database, functional PBE.

a = 7.175 Å, b = 7.180 Å, c = 7.550 Å
α = 89.96°, β = 61.74°, γ = 60.05°
Space group P-1 (No. 2)
Symmetry-distinct sites (fractional):
Li 0.000 0.000 0.000
Ti 0.000 0.500 0.500
I 0.158 0.571 0.746
I 0.174 0.730 0.255
I 0.474 0.098 0.255

Computed properties:
V: 282 Å³ per cell
Final energy: -0.222 Ry/atom
Uncorrected formation energy: -14.42 kcal/mol of atoms
Offset from the most stable computed form: 21 meV per atom

=====

Entry 3:
An optimized crystal structure of Zr3Cd3C. Source: the Alexandria database, functional PBE.

a = 12.906 Å, b = 12.906 Å, c = 12.906 Å
α = 90.00°, β = 90.00°, γ = 90.00°
Space group Fd-3m (No. 227, origin choice 2)
Symmetry-distinct sites (fractional):
Zr 0.054 0.375 0.375
Cd 0.000 0.000 0.500
Cd 0.038 0.038 0.712
C 0.000 0.000 0.000

Computed properties:
ΔE_f: -2.27 eV per formula unit
V: 2150 Å³ per cell
Final energy: -0.419 Ry/atom

=====

Entry 4:
An optimized crystal structure of FeP3N. Source: the Alexandria database, functional PBE.

a = 3.895 Å, b = 3.895 Å, c = 3.895 Å
α = 90.00°, β = 90.00°, γ = 90.00°
Space group Pm-3m (No. 221)
Symmetry-distinct sites (fractional):
Fe 0.000 0.000 0.000
P 0.000 0.500 0.500
N 0.500 0.500 0.500

Computed properties:
V: 59 Å³ per cell
Final energy: -0.415 Ry/atom
Uncorrected formation energy: 22.15 kcal/mol of atoms
Offset from the most stable computed form: 0 meV per atom

=====

Entry 5:
An optimized crystal structure of CsKRbI3. Source: the Alexandria database, functional PBE.

a = 9.146 Å, b = 5.200 Å, c = 13.861 Å
α = 90.00°, β = 102.29°, γ = 90.00°
Space group P2_1/m (No. 11)
Symmetry-distinct sites (fractional):
Cs 0.149 0.250 0.193
K 0.370 0.250 0.861
Rb 0.265 0.750 0.551
I 0.055 0.250 0.666
I 0.255 0.750 0.995
I 0.451 0.750 0.337

Computed properties:
V: 644 Å³ per cell
Final energy: -0.202 Ry/atom
Uncorrected formation energy: -34.27 kcal/mol of atoms

=====

Entry 6:
An optimized crystal structure of FeHgRh. Source: the Alexandria database, functional PBE.

a = 4.3515 Å, b = 4.3515 Å, c = 2.9332 Å
α = 90.00°, β = 90.00°, γ = 120.00°
Space group P3m1 (No. 156)
Symmetry-distinct sites (fractional):
Fe 0.0000 0.0000 0.0000
Hg 0.3333 0.6667 0.4309
Rh 0.6667 0.3333 0.8992

Computed properties:
ΔE_f: 0.72 eV per formula unit
V: 48 Å³ per cell
Final energy: -0.377 Ry/atom
Offset from the most stable computed form: 78 meV per atom

=====

Entry 7:
An optimized crystal structure of Ca2AcNd. Source: the Alexandria database, functional PBE.

a = 6.606 Å, b = 3.872 Å, c = 12.958 Å
α = 90.00°, β = 99.31°, γ = 90.00°
Space group P2_1/m (No. 11)
Symmetry-distinct sites (fractional):
Ca 0.120 0.250 0.130
Ca 0.376 0.250 0.875
Ac 0.452 0.750 0.621
Nd 0.046 0.750 0.385

Computed properties:
ΔE_f: 0.12 eV per formula unit
V: 327 Å³ per cell
Final energy: -0.234 Ry/atom
Offset from the most stable computed form: 7 meV per atom

=====

Entry 8:
An optimized crystal structure of Nd6Te3Pt2Au. Source: the Alexandria database, functional PBE.

a = 7.432 Å, b = 12.865 Å, c = 7.983 Å
α = 90.00°, β = 107.99°, γ = 90.00°
Space group C2/m (No. 12)
Symmetry-distinct sites (fractional):
Nd 0.225 0.000 0.217
Nd 0.248 0.326 0.221
Te 0.000 0.000 0.500
Te 0.000 0.338 0.500
Pt 0.000 0.168 0.000
Au 0.000 0.500 0.000

Computed properties:
V: 726 Å³ per cell
Final energy: -0.415 Ry/atom
Uncorrected formation energy: -27.46 kcal/mol of atoms